# 1
Dy8Cd2Ag | Alexandria via LeMat-Bulk | PBE-GGA | optimized geometry; formation enthalpy at 0 K = -0.109 eV/atom; total magnetic moment = 0.00 μB/f.u.
1.0
8.963 -2.625 0.000
8.963 2.625 0.000
-2.019 0.000 6.700
Dy Cd Ag
8 2 1
direct
0.023 0.023 0.269 Dy
0.196 0.196 0.796 Dy
0.339 0.339 0.539 Dy
0.408 0.408 0.046 Dy
0.592 0.592 0.954 Dy
0.661 0.661 0.461 Dy
0.804 0.804 0.204 Dy
0.977 0.977 0.731 Dy
0.187 0.187 0.217 Cd
0.813 0.813 0.783 Cd
0.500 0.500 0.500 Ag



# 2
LaDyCoRh | Alexandria via LeMat-Bulk | PBE-GGA | optimized geometry; formation enthalpy at 0 K = -0.372 eV/atom; total magnetic moment = 0.63 μB/f.u.
1.0
0.000 3.478 3.478
3.478 0.000 3.478
3.478 3.478 0.000
La Dy Co Rh
1 1 1 1
direct
0.000 0.000 0.000 La
0.500 0.500 0.500 Dy
0.250 0.250 0.250 Co
0.750 0.750 0.750 Rh



# 3
TbDy3Y6Th2 | Alexandria via LeMat-Bulk | PBE-GGA | optimized geometry; formation enthalpy at 0 K = 0.027 eV/atom; total magnetic moment = 0.00 μB/f.u.
1.0
3.093 -5.353 0.000
3.093 5.353 0.000
-2.065 0.000 11.610
Tb Dy Y Th
1 3 6 2
direct
0.000 0.000 0.000 Tb
0.166 0.834 0.500 Dy
0.500 0.500 0.500 Dy
0.834 0.166 0.500 Dy
0.083 0.420 0.248 Y
0.254 0.254 0.752 Y
0.420 0.083 0.248 Y
0.580 0.917 0.752 Y
0.746 0.746 0.248 Y
0.917 0.580 0.752 Y
0.333 0.667 0.000 Th
0.667 0.333 0.000 Th



# 4
Cs2TlI6F | Alexandria via LeMat-Bulk | PBE-GGA | optimized geometry; energy relative to the elements, uncorrected = -7.9 eV/f.u.; total magnetic moment = 0.00 μB/f.u.
1.0
-4.533 4.533 5.489
4.533 -4.533 5.489
4.533 4.533 -5.489
Cs Tl I F
2 1 6 1
direct
0.250 0.750 0.500 Cs
0.750 0.250 0.500 Cs
0.000 0.000 0.000 Tl
0.231 0.231 0.462 I
0.231 0.769 0.000 I
0.291 0.291 0.000 I
0.709 0.709 0.000 I
0.769 0.231 0.000 I
0.769 0.769 0.538 I
0.500 0.500 0.000 F



# 5
PrHo5Er4 | Alexandria via LeMat-Bulk | PBE-GGA | optimized geometry; formation enthalpy at 0 K = 0.309 eV/atom; total magnetic moment = 0.00 μB/f.u.
1.0
-5.068 5.068 3.145
5.068 -5.068 3.145
5.068 5.068 -3.145
Pr Ho Er
1 5 4
direct
0.000 0.000 0.000 Pr
0.039 0.129 0.621 Ho
0.129 0.508 0.091 Ho
0.417 0.039 0.909 Ho
0.508 0.417 0.379 Ho
0.544 0.544 0.000 Ho
0.119 0.820 0.401 Er
0.419 0.718 0.599 Er
0.718 0.119 0.299 Er
0.820 0.419 0.701 Er



# 6
NdGa4CuPd2 | Alexandria via LeMat-Bulk | PBE-GGA | optimized geometry; formation enthalpy at 0 K = -0.538 eV/atom; total magnetic moment = 0.00 μB/f.u.
1.0
2.150 1.241 8.800
-2.150 1.241 8.800
0.000 -2.483 8.800
Nd Ga Cu Pd
1 4 1 2
direct
0.000 0.000 0.000 Nd
0.131 0.131 0.131 Ga
0.401 0.401 0.401 Ga
0.599 0.599 0.599 Ga
0.869 0.869 0.869 Ga
0.500 0.500 0.500 Cu
0.236 0.236 0.236 Pd
0.764 0.764 0.764 Pd



no.,N(E_F) (states/eV per cell),final energy (eV/cell),volume (Å³ per atom)
1,11.5,-42.70,28.7
2,2.2,-25.48,21.0
3,17.2,-71.74,32.0
4,0.0,-23.18,45.1
5,13.9,-42.83,32.3
6,2.7,-35.66,17.6